(1)
A relaxed structure of HfIn3Rh. Source: Alexandria, functional PBE.

Cell and atoms, written as CIF:
```
data_HfIn3Rh
_space_group_name_H-M_alt 'P m -3 m'
_space_group_IT_number 221
_space_group_name_Hall '-P 4 2 3'
_cell_length_a 5.0336
_cell_length_b 5.0336
_cell_length_c 5.0336
_cell_angle_alpha 90.00
_cell_angle_beta 90.00
_cell_angle_gamma 90.00
loop_
_atom_site_label
_atom_site_type_symbol
_atom_site_fract_x
_atom_site_fract_y
_atom_site_fract_z
Hf1 Hf 0.0000 0.0000 0.0000
In1 In 0.0000 0.5000 0.5000
Rh1 Rh 0.5000 0.5000 0.5000
```

Properties
The energy above the most stable polymorph in this dataset is 0 meV/atom. The density of states at the Fermi level is 4.64 states/eV/cell. Its density is 8.1 g/cm³. As for the calculated formation energy: 357 meV/atom.

(2)
A relaxed structure of Hf2In2Rh3. Source: Alexandria, functional PBE.

Cell and atoms, written as CIF:
```
data_Hf2In2Rh3
_space_group_name_H-M_alt 'C 1 2/m 1'
_space_group_IT_number 12
_space_group_name_Hall '-C 2y'
_cell_length_a 7.9529
_cell_length_b 4.5881
_cell_length_c 7.7359
_cell_angle_alpha 90.00
_cell_angle_beta 110.13
_cell_angle_gamma 90.00
loop_
_atom_site_label
_atom_site_type_symbol
_atom_site_fract_x
_atom_site_fract_y
_atom_site_fract_z
Hf1 Hf 0.1192 0.0000 0.3575
In1 In 0.1298 0.5000 0.8896
Rh1 Rh 0.0000 0.5000 0.5000
Rh2 Rh 0.2422 0.0000 0.7253
```

Properties
The density of states at the Fermi level is 5.30 states/eV/cell. Its density is 11.2 g/cm³. As for the calculated formation energy: -731 meV/atom.

(3)
A relaxed structure of Hf2InRh3. Source: Alexandria, functional PBE.

Cell and atoms, written as CIF:
```
data_Hf2InRh3
_space_group_name_H-M_alt 'P -3 m 1'
_space_group_IT_number 164
_space_group_name_Hall '-P 3 2"'
_cell_length_a 4.6002
_cell_length_b 4.6002
_cell_length_c 11.3091
_cell_angle_alpha 90.00
_cell_angle_beta 90.00
_cell_angle_gamma 120.00
loop_
_atom_site_label
_atom_site_type_symbol
_atom_site_fract_x
_atom_site_fract_y
_atom_site_fract_z
Hf1 Hf 0.0000 0.0000 0.0000
Hf2 Hf 0.0000 0.0000 0.5000
Hf3 Hf 0.3333 0.6667 0.1748
In1 In 0.3333 0.6667 0.6673
Rh1 Rh 0.0000 0.0000 0.2413
Rh2 Rh 0.3333 0.6667 0.4203
Rh3 Rh 0.3333 0.6667 0.9256
```

Properties
The energy above the most stable polymorph in this dataset is 0 meV/atom. The density of states at the Fermi level is 11.11 states/eV/cell. Its density is 12.5 g/cm³. As for the calculated formation energy: -810 meV/atom.

(4)
A relaxed structure of HfIn5Rh6. Source: Alexandria, functional PBE.

Cell and atoms, written as CIF:
```
data_HfIn5Rh6
_space_group_name_H-M_alt 'P 1 2/m 1'
_space_group_IT_number 10
_space_group_name_Hall '-P 2y'
_cell_length_a 4.4306
_cell_length_b 6.8989
_cell_length_c 7.0174
_cell_angle_alpha 90.00
_cell_angle_beta 108.34
_cell_angle_gamma 90.00
loop_
_atom_site_label
_atom_site_type_symbol
_atom_site_fract_x
_atom_site_fract_y
_atom_site_fract_z
Hf1 Hf 0.0000 0.0000 0.0000
In1 In 0.0000 0.5000 0.0000
In2 In 0.3330 0.0000 0.6659
In3 In 0.3342 0.5000 0.6684
Rh1 Rh 0.1652 0.2481 0.3303
Rh2 Rh 0.5000 0.2443 0.0000
```

Properties
The density of states at the Fermi level is 3.46 states/eV/cell. Its density is 11.2 g/cm³. As for the calculated formation energy: -556 meV/atom.

(5)
A relaxed structure of HfInRh4. Source: Alexandria, functional PBE.

Cell and atoms, written as CIF:
```
data_HfInRh4
_space_group_name_H-M_alt 'P 4/m m m'
_space_group_IT_number 123
_space_group_name_Hall '-P 4 2'
_cell_length_a 4.2374
_cell_length_b 4.2374
_cell_length_c 6.3353
_cell_angle_alpha 90.00
_cell_angle_beta 90.00
_cell_angle_gamma 90.00
loop_
_atom_site_label
_atom_site_type_symbol
_atom_site_fract_x
_atom_site_fract_y
_atom_site_fract_z
Hf1 Hf 0.0000 0.0000 0.0000
In1 In 0.5000 0.5000 0.5000
Rh1 Rh 0.0000 0.5000 0.2395
```

Properties
The density of states at the Fermi level is 6.03 states/eV/cell. Its density is 10.3 g/cm³. As for the calculated formation energy: -74 meV/atom.

(6)
A relaxed structure of Hf3InRh4. Source: Alexandria, functional PBE.

Cell and atoms, written as CIF:
```
data_Hf3InRh4
_space_group_name_H-M_alt 'R -3 m'
_space_group_IT_number 166
_space_group_name_Hall '-R 3 2"'
_cell_length_a 4.5955
_cell_length_b 4.5955
_cell_length_c 22.8745
_cell_angle_alpha 90.00
_cell_angle_beta 90.00
_cell_angle_gamma 120.00
loop_
_atom_site_label
_atom_site_type_symbol
_atom_site_fract_x
_atom_site_fract_y
_atom_site_fract_z
Hf1 Hf 0.0000 0.0000 0.0000
Hf2 Hf 0.0000 0.0000 0.2465
In1 In 0.0000 0.0000 0.5000
Rh1 Rh 0.0000 0.0000 0.1159
Rh2 Rh 0.0000 0.0000 0.3703
```

Properties
The density of states at the Fermi level is 17.04 states/eV/cell. Its density is 12.6 g/cm³. As for the calculated formation energy: -838 meV/atom.

(7)
A relaxed structure of HfIn3Rh4. Source: Alexandria, functional PBE.

Cell and atoms, written as CIF:
```
data_HfIn3Rh4
_space_group_name_H-M_alt 'I 4/m m m'
_space_group_IT_number 139
_space_group_name_Hall '-I 4 2'
_cell_length_a 4.3999
_cell_length_b 4.3999
_cell_length_c 14.0321
_cell_angle_alpha 90.00
_cell_angle_beta 90.00
_cell_angle_gamma 90.00
loop_
_atom_site_label
_atom_site_type_symbol
_atom_site_fract_x
_atom_site_fract_y
_atom_site_fract_z
Hf1 Hf 0.0000 0.0000 0.0000
In1 In 0.0000 0.0000 0.2505
In2 In 0.0000 0.0000 0.5000
Rh1 Rh 0.0000 0.5000 0.1227
```

Properties
The density of states at the Fermi level is 5.50 states/eV/cell. Its density is 11.4 g/cm³. As for the calculated formation energy: -621 meV/atom.

(8)
A relaxed structure of Hf6In2Rh. Source: Alexandria, functional PBE.

Cell and atoms, written as CIF:
```
data_Hf6In2Rh
_space_group_name_H-M_alt 'C 1 2/m 1'
_space_group_IT_number 12
_space_group_name_Hall '-C 2y'
_cell_length_a 14.7173
_cell_length_b 6.5113
_cell_length_c 4.8086
_cell_angle_alpha 90.00
_cell_angle_beta 108.89
_cell_angle_gamma 90.00
loop_
_atom_site_label
_atom_site_type_symbol
_atom_site_fract_x
_atom_site_fract_y
_atom_site_fract_z
Hf1 Hf 0.0000 0.2432 0.0000
Hf2 Hf 0.1479 0.2477 0.6469
In1 In 0.1773 0.5000 0.1758
Rh1 Rh 0.0000 0.0000 0.5000
```

Properties
The density of states at the Fermi level is 16.19 states/eV/cell. Its density is 10.7 g/cm³. As for the calculated formation energy: 142 meV/atom.

(9)
A relaxed structure of Hf2InRh6. Source: Alexandria, functional PBE.

Cell and atoms, written as CIF:
```
data_Hf2InRh6
_space_group_name_H-M_alt 'C 1 2/m 1'
_space_group_IT_number 12
_space_group_name_Hall '-C 2y'
_cell_length_a 13.5571
_cell_length_b 6.2870
_cell_length_c 4.1732
_cell_angle_alpha 90.00
_cell_angle_beta 107.85
_cell_angle_gamma 90.00
loop_
_atom_site_label
_atom_site_type_symbol
_atom_site_fract_x
_atom_site_fract_y
_atom_site_fract_z
Hf1 Hf 0.1696 0.0000 0.1684
In1 In 0.0000 0.5000 0.5000
Rh1 Rh 0.0000 0.2313 0.0000
Rh2 Rh 0.1669 0.2494 0.6661
```

Properties
The density of states at the Fermi level is 13.32 states/eV/cell. Its density is 10.7 g/cm³. As for the calculated formation energy: -193 meV/atom.

(10)
A relaxed structure of Hf3InRh. Source: Alexandria, functional PBE.

Cell and atoms, written as CIF:
```
data_Hf3InRh
_space_group_name_H-M_alt 'P m -3 m'
_space_group_IT_number 221
_space_group_name_Hall '-P 4 2 3'
_cell_length_a 4.9784
_cell_length_b 4.9784
_cell_length_c 4.9784
_cell_angle_alpha 90.00
_cell_angle_beta 90.00
_cell_angle_gamma 90.00
loop_
_atom_site_label
_atom_site_type_symbol
_atom_site_fract_x
_atom_site_fract_y
_atom_site_fract_z
Hf1 Hf 0.0000 0.0000 0.5000
In1 In 0.5000 0.5000 0.5000
Rh1 Rh 0.0000 0.0000 0.0000
```

Properties
The energy above the most stable polymorph in this dataset is 0 meV/atom. The density of states at the Fermi level is 6.47 states/eV/cell. Its density is 10.1 g/cm³. As for the calculated formation energy: 119 meV/atom.

(11)
A relaxed structure of Hf5InRh6. Source: Alexandria, functional PBE.

Cell and atoms, written as CIF:
```
data_Hf5InRh6
_space_group_name_H-M_alt 'C 1 2/m 1'
_space_group_IT_number 12
_space_group_name_Hall '-C 2y'
_cell_length_a 7.8432
_cell_length_b 14.1888
_cell_length_c 4.6798
_cell_angle_alpha 90.00
_cell_angle_beta 126.58
_cell_angle_gamma 90.00
loop_
_atom_site_label
_atom_site_type_symbol
_atom_site_fract_x
_atom_site_fract_y
_atom_site_fract_z
Hf1 Hf 0.0000 0.0000 0.0000
Hf2 Hf 0.0000 0.1650 0.5000
Hf3 Hf 0.0000 0.3378 0.0000
In1 In 0.0000 0.5000 0.5000
Rh1 Rh 0.2371 0.0000 0.7360
Rh2 Rh 0.2475 0.1745 0.2478
```

Properties
The density of states at the Fermi level is 14.51 states/eV/cell. Its density is 12.9 g/cm³. As for the calculated formation energy: -843 meV/atom.

(12)
A relaxed structure of HfInRh. Source: Alexandria, functional PBE.

Cell and atoms, written as CIF:
```
data_HfInRh
_space_group_name_H-M_alt 'C m c m'
_space_group_IT_number 63
_space_group_name_Hall '-C 2c 2'
_cell_length_a 4.5132
_cell_length_b 8.8334
_cell_length_c 5.6749
_cell_angle_alpha 90.00
_cell_angle_beta 90.00
_cell_angle_gamma 90.00
loop_
_atom_site_label
_atom_site_type_symbol
_atom_site_fract_x
_atom_site_fract_y
_atom_site_fract_z
Hf1 Hf 0.0000 0.1944 0.2500
In1 In 0.0000 0.5000 0.0000
Rh1 Rh 0.0000 0.1236 0.7500
```

Properties
The density of states at the Fermi level is 4.30 states/eV/cell. Its density is 11.6 g/cm³. As for the calculated formation energy: -555 meV/atom.

(13)
A relaxed structure of HfInRh2. Source: Alexandria, functional PBE.

Cell and atoms, written as CIF:
```
data_HfInRh2
_space_group_name_H-M_alt 'I -4 2 d'
_space_group_IT_number 122
_space_group_name_Hall 'I -4 2bw'
_cell_length_a 7.1172
_cell_length_b 7.1172
_cell_length_c 6.0278
_cell_angle_alpha 90.00
_cell_angle_beta 90.00
_cell_angle_gamma 90.00
loop_
_atom_site_label
_atom_site_type_symbol
_atom_site_fract_x
_atom_site_fract_y
_atom_site_fract_z
Hf1 Hf 0.0000 0.0000 0.0000
In1 In 0.0000 0.0000 0.5000
Rh1 Rh 0.2325 0.2500 0.1250
```

Properties
The density of states at the Fermi level is 9.59 states/eV/cell. Its density is 10.9 g/cm³. As for the calculated formation energy: -228 meV/atom.

(14)
A relaxed structure of HfInRh2. Source: Alexandria, functional PBE.

Cell and atoms, written as CIF:
```
data_HfInRh2
_space_group_name_H-M_alt 'P 4/m m m'
_space_group_IT_number 123
_space_group_name_Hall '-P 4 2'
_cell_length_a 4.5399
_cell_length_b 4.5399
_cell_length_c 3.3135
_cell_angle_alpha 90.00
_cell_angle_beta 90.00
_cell_angle_gamma 90.00
loop_
_atom_site_label
_atom_site_type_symbol
_atom_site_fract_x
_atom_site_fract_y
_atom_site_fract_z
Hf1 Hf 0.0000 0.0000 0.0000
In1 In 0.5000 0.5000 0.0000
Rh1 Rh 0.0000 0.5000 0.5000
```

Properties
The density of states at the Fermi level is 2.92 states/eV/cell. Its density is 12.1 g/cm³. As for the calculated formation energy: -714 meV/atom.

(15)
A relaxed structure of HfIn2Rh2. Source: Alexandria, functional PBE.

Cell and atoms, written as CIF:
```
data_HfIn2Rh2
_space_group_name_H-M_alt 'P 4/m b m'
_space_group_IT_number 127
_space_group_name_Hall '-P 4 2ab'
_cell_length_a 6.8899
_cell_length_b 6.8899
_cell_length_c 4.0037
_cell_angle_alpha 90.00
_cell_angle_beta 90.00
_cell_angle_gamma 90.00
loop_
_atom_site_label
_atom_site_type_symbol
_atom_site_fract_x
_atom_site_fract_y
_atom_site_fract_z
Hf1 Hf 0.0000 0.0000 0.0000
In1 In 0.1618 0.3382 0.5000
Rh1 Rh 0.1415 0.6415 0.0000
```

Properties
The density of states at the Fermi level is 4.44 states/eV/cell. Its density is 10.7 g/cm³. As for the calculated formation energy: -435 meV/atom.

(16)
A relaxed structure of Hf5InRh4. Source: Alexandria, functional PBE.

Cell and atoms, written as CIF:
```
data_Hf5InRh4
_space_group_name_H-M_alt 'P 4/m m m'
_space_group_IT_number 123
_space_group_name_Hall '-P 4 2'
_cell_length_a 3.2293
_cell_length_b 3.2293
_cell_length_c 17.6750
_cell_angle_alpha 90.00
_cell_angle_beta 90.00
_cell_angle_gamma 90.00
loop_
_atom_site_label
_atom_site_type_symbol
_atom_site_fract_x
_atom_site_fract_y
_atom_site_fract_z
Hf1 Hf 0.0000 0.0000 0.0000
Hf2 Hf 0.0000 0.0000 0.1872
Hf3 Hf 0.0000 0.0000 0.3750
In1 In 0.5000 0.5000 0.5000
Rh1 Rh 0.5000 0.5000 0.0926
Rh2 Rh 0.5000 0.5000 0.2778
```

Properties
The density of states at the Fermi level is 5.40 states/eV/cell. Its density is 12.8 g/cm³. As for the calculated formation energy: -727 meV/atom.

(17)
A relaxed structure of HfInRh4. Source: Alexandria, functional PBE.

Cell and atoms, written as CIF:
```
data_HfInRh4
_space_group_name_H-M_alt 'C 1 2/m 1'
_space_group_IT_number 12
_space_group_name_Hall '-C 2y'
_cell_length_a 9.3170
_cell_length_b 3.7421
_cell_length_c 5.8872
_cell_angle_alpha 90.00
_cell_angle_beta 109.14
_cell_angle_gamma 90.00
loop_
_atom_site_label
_atom_site_type_symbol
_atom_site_fract_x
_atom_site_fract_y
_atom_site_fract_z
Hf1 Hf 0.0000 0.0000 0.0000
In1 In 0.0000 0.0000 0.5000
Rh1 Rh 0.1596 0.5000 0.3238
Rh2 Rh 0.1642 0.5000 0.8323
```

Properties
The density of states at the Fermi level is 17.22 states/eV/cell. Its density is 12.1 g/cm³. As for the calculated formation energy: -415 meV/atom.

(18)
A relaxed structure of HfIn4Rh5. Source: Alexandria, functional PBE.

Cell and atoms, written as CIF:
```
data_HfIn4Rh5
_space_group_name_H-M_alt 'P 4/m m m'
_space_group_IT_number 123
_space_group_name_Hall '-P 4 2'
_cell_length_a 3.2909
_cell_length_b 3.2909
_cell_length_c 15.7583
_cell_angle_alpha 90.00
_cell_angle_beta 90.00
_cell_angle_gamma 90.00
loop_
_atom_site_label
_atom_site_type_symbol
_atom_site_fract_x
_atom_site_fract_y
_atom_site_fract_z
Hf1 Hf 0.0000 0.0000 0.0000
In1 In 0.0000 0.0000 0.2012
In2 In 0.0000 0.0000 0.3998
Rh1 Rh 0.5000 0.5000 0.0959
Rh2 Rh 0.5000 0.5000 0.2993
Rh3 Rh 0.5000 0.5000 0.5000
```

Properties
The density of states at the Fermi level is 4.66 states/eV/cell. Its density is 11.2 g/cm³. As for the calculated formation energy: -555 meV/atom.

(19)
A relaxed structure of Hf2In2Rh. Source: Alexandria, functional PBE.

Cell and atoms, written as CIF:
```
data_Hf2In2Rh
_space_group_name_H-M_alt 'P 4/m b m'
_space_group_IT_number 127
_space_group_name_Hall '-P 4 2ab'
_cell_length_a 6.9560
_cell_length_b 6.9560
_cell_length_c 4.2787
_cell_angle_alpha 90.00
_cell_angle_beta 90.00
_cell_angle_gamma 90.00
loop_
_atom_site_label
_atom_site_type_symbol
_atom_site_fract_x
_atom_site_fract_y
_atom_site_fract_z
Hf1 Hf 0.1665 0.3335 0.0000
In1 In 0.1414 0.6414 0.5000
Rh1 Rh 0.0000 0.0000 0.5000
```

Properties
The density of states at the Fermi level is 6.38 states/eV/cell. Its density is 11.1 g/cm³. As for the calculated formation energy: -139 meV/atom.

(20)
A relaxed structure of HfInRh2. Source: Alexandria, functional PBE.

Cell and atoms, written as CIF:
```
data_HfInRh2
_space_group_name_H-M_alt 'P 4/m m m'
_space_group_IT_number 123
_space_group_name_Hall '-P 4 2'
_cell_length_a 3.3329
_cell_length_b 3.3329
_cell_length_c 6.1982
_cell_angle_alpha 90.00
_cell_angle_beta 90.00
_cell_angle_gamma 90.00
loop_
_atom_site_label
_atom_site_type_symbol
_atom_site_fract_x
_atom_site_fract_y
_atom_site_fract_z
Hf1 Hf 0.0000 0.0000 0.0000
In1 In 0.0000 0.0000 0.5000
Rh1 Rh 0.5000 0.5000 0.2426
```

Properties
The density of states at the Fermi level is 2.37 states/eV/cell. Its density is 12.0 g/cm³. As for the calculated formation energy: -753 meV/atom.